1.
The following is a DFT calculation (PBE) of crystalline K2SrTe at its relaxed geometry.

Output
M_tot (μB/cell): 1.1
Calculated total energy (eV/atom): -2.2602
Space-group type: I4/mmm, No. 139
Formation energy without anion corrections (meV per atom): -506
V (Å³ per atom): 43.99

Lattice parameters (Å, degrees): 7.7933 7.7933 7.7933 142.28 142.28 54.41
Atoms (fractional coordinates):
K  0.2500  0.7500  0.5000
K  0.7500  0.2500  0.5000
Sr  0.0000  0.0000  0.0000
Te  0.5000  0.5000  0.0000

2.
The following is a DFT calculation (PBE) of crystalline Te2SeBr at its relaxed geometry.

Output
M_tot (μB/cell): 0.0
Calculated total energy (eV/atom): -2.5152
Space-group type: F-43m, No. 216
Formation energy without anion corrections (meV per atom): 345
V (Å³ per atom): 25.55
ΔE to the lowest computed polymorph (eV per atom): 0.406

Lattice parameters (Å, degrees): 5.2481 5.2481 5.2481 60.00 60.00 60.00
Atoms (fractional coordinates):
Te  0.0000  0.0000  0.0000
Te  0.2500  0.2500  0.2500
Se  0.5000  0.5000  0.5000
Br  0.7500  0.7500  0.7500

3.
The following is a DFT calculation (PBE) of crystalline Ca2Ac3Ge2 at its relaxed geometry.

Output
M_tot (μB/cell): 1.1
Calculated total energy (eV/atom): -4.0545
Space-group type: C2/m, No. 12
V (Å³ per atom): 35.55
ΔE_f (eV/f.u.): -2.8

Lattice parameters (Å, degrees): 7.1583 7.1583 8.9386 109.95 109.95 35.59
Atoms (fractional coordinates):
Ca  0.1720  0.1720  0.3215
Ca  0.8280  0.8280  0.6785
Ac  0.3738  0.3738  0.0631
Ac  0.5000  0.5000  0.5000
Ac  0.6262  0.6262  0.9369
Ge  0.1771  0.1771  0.7039
Ge  0.8229  0.8229  0.2961

4.
The following is a DFT calculation (PBE) of crystalline PbW2Cl at its relaxed geometry.

Output
M_tot (μB/cell): 0.0
Calculated total energy (eV/atom): -7.6189
Space-group type: R3m, No. 160
Formation energy without anion corrections (meV per atom): 246
V (Å³ per atom): 23.54
ΔE to the lowest computed polymorph (eV per atom): 0.038

Lattice parameters (Å, degrees): 10.4698 10.4698 10.4698 17.85 17.85 17.85
Atoms (fractional coordinates):
Pb  0.0000  0.0000  0.0000
W  0.4779  0.4779  0.4779
W  0.7564  0.7564  0.7564
Cl  0.2061  0.2061  0.2061

5.
The following is a DFT calculation (PBE) of crystalline TbSmScAg at its relaxed geometry.

Output
M_tot (μB/cell): 0.0
Calculated total energy (eV/atom): -4.5996
Space-group type: F-43m, No. 216
V (Å³ per atom): 26.49
ΔE_f (eV/f.u.): 0.1
ΔE to the lowest computed polymorph (eV per atom): 0.136

Lattice parameters (Å, degrees): 5.3118 5.3118 5.3118 60.00 60.00 60.00
Atoms (fractional coordinates):
Tb  0.0000  0.0000  0.0000
Sm  0.5000  0.5000  0.5000
Sc  0.2500  0.2500  0.2500
Ag  0.7500  0.7500  0.7500

6.
The following is a DFT calculation (PBE) of crystalline Cs2SiPt2 at its relaxed geometry.

Output
M_tot (μB/cell): 0.0
Calculated total energy (eV/atom): -4.0534
Space-group type: Immm, No. 71
Formation energy without anion corrections (meV per atom): -211
V (Å³ per atom): 32.83
ΔE to the lowest computed polymorph (eV per atom): 0.000

Lattice parameters (Å, degrees): 7.0532 7.0532 7.0532 148.88 112.92 75.79
Atoms (fractional coordinates):
Cs  0.1843  0.1843  0.0000
Cs  0.8157  0.8157  0.0000
Si  0.5000  0.0000  0.5000
Pt  0.3202  0.5000  0.8202
Pt  0.6798  0.5000  0.1798

7.
The following is a DFT calculation (PBE) of crystalline CaCdS2 at its relaxed geometry.

Output
M_tot (μB/cell): 0.0
Calculated total energy (eV/atom): -4.0266
Space-group type: R3m, No. 160
Formation energy without anion corrections (meV per atom): -1234
V (Å³ per atom): 22.22

Lattice parameters (Å, degrees): 7.0697 7.0697 7.0697 32.14 32.14 32.14
Atoms (fractional coordinates):
Ca  0.0000  0.0000  0.0000
Cd  0.8312  0.8312  0.8312
S  0.2447  0.2447  0.2447
S  0.4203  0.4203  0.4203

8.
The following is a DFT calculation (PBE) of crystalline K2CdBr4 at its relaxed geometry.

Output
M_tot (μB/cell): 0.0
Calculated total energy (eV/atom): -2.7301
Space-group type: I4/mmm, No. 139
Formation energy without anion corrections (meV per atom): -1330
V (Å³ per atom): 36.69
ΔE to the lowest computed polymorph (eV per atom): 0.038

Lattice parameters (Å, degrees): 9.1152 9.1152 9.1152 144.27 144.27 51.42
Atoms (fractional coordinates):
K  0.1355  0.1355  0.0000
K  0.8645  0.8645  0.0000
Cd  0.5000  0.5000  0.0000
Br  0.0000  0.5000  0.5000
Br  0.3333  0.3333  0.0000
Br  0.5000  0.0000  0.5000
Br  0.6667  0.6667  0.0000

9.
The following is a DFT calculation (PBE) of crystalline Ho2TmCo at its relaxed geometry.

Output
M_tot (μB/cell): 1.2
Calculated total energy (eV/atom): -5.2362
Space-group type: P4/mmm, No. 123
V (Å³ per atom): 24.85
ΔE_f (eV/f.u.): -0.2
ΔE to the lowest computed polymorph (eV per atom): 0.129

Lattice parameters (Å, degrees): 3.3931 3.3931 8.6342 90.00 90.00 90.00
Atoms (fractional coordinates):
Ho  0.0000  0.0000  0.1867
Ho  0.0000  0.0000  0.8133
Tm  0.5000  0.5000  0.5000
Co  0.5000  0.5000  0.0000

10.
The following is a DFT calculation (PBE) of crystalline Hf7Co2As2 at its relaxed geometry.

Output
M_tot (μB/cell): 0.0
Calculated total energy (eV/atom): -9.0778
Space-group type: Imm2, No. 44
V (Å³ per atom): 19.02
ΔE_f (eV/f.u.): -6.7

Lattice parameters (Å, degrees): 8.3345 8.3345 8.3345 155.65 67.77 117.85
Atoms (fractional coordinates):
Hf  0.0000  0.0000  0.0000
Hf  0.2886  0.4146  0.8740
Hf  0.3063  0.6240  0.6823
Hf  0.5407  0.4146  0.1260
Hf  0.6190  0.2611  0.3579
Hf  0.9032  0.2611  0.6421
Hf  0.9417  0.6240  0.3177
Co  0.1693  0.9312  0.2381
Co  0.6931  0.9312  0.7619
As  0.2575  0.7575  0.5000
As  0.6647  0.6647  0.0000

11.
The following is a DFT calculation (PBE) of crystalline BaDy2Tm at its relaxed geometry.

Output
M_tot (μB/cell): 0.0
Calculated total energy (eV/atom): -3.6715
Space-group type: R-3m, No. 166
V (Å³ per atom): 35.57
ΔE_f (eV/f.u.): 0.9

Lattice parameters (Å, degrees): 12.9384 12.9384 12.9384 15.93 15.93 15.93
Atoms (fractional coordinates):
Ba  0.0000  0.0000  0.0000
Dy  0.0942  0.0942  0.0942
Dy  0.9058  0.9058  0.9058
Tm  0.5000  0.5000  0.5000

12.
The following is a DFT calculation (PBE) of crystalline HoLuRhAu at its relaxed geometry.

Output
M_tot (μB/cell): 0.0
Calculated total energy (eV/atom): -5.8111
Space-group type: F-43m, No. 216
V (Å³ per atom): 20.98
ΔE_f (eV/f.u.): -3.5

Lattice parameters (Å, degrees): 4.9146 4.9146 4.9146 60.00 60.00 60.00
Atoms (fractional coordinates):
Ho  0.0000  0.0000  0.0000
Lu  0.5000  0.5000  0.5000
Rh  0.7500  0.7500  0.7500
Au  0.2500  0.2500  0.2500

What is the formula in the eighth record?
K2CdBr4

The highest V belongs to which entry?
K2SrTe